Computed, not measured: crystalline Hf2PdRh at its relaxed geometry at the PBE-GGA level of DFT.

Calculated values
total energy: -8.0200 eV per atom
DFT formation energy: 0.093 eV/atom

a = 5.846 Å, b = 5.846 Å, c = 5.846 Å
α = 150.69°, β = 127.75°, γ = 61.04°
Atoms (fractional coordinates):
Hf (0.246, 0.246, 0.000)
Hf (0.754, 0.754, 0.000)
Pd (0.500, 0.500, 0.000)
Rh (0.000, 0.000, 0.000)